Entry 1:
## Ta2CrW (PBE)

Data for crystalline Ta2CrW at its relaxed geometry.

E   -46.11 eV/f.u.
Formation energy from the elements   0.04 eV per atom
Magnetization   0.0 μB per formula unit

Lattice parameters (Å, degrees): 2.8049 2.8049 8.7201 90.00 90.00 110.01
With the nearest neighbours (Å) after each atom.
Sites, in units of the cell vectors:
1 Cr 0.5000 0.5000 0.7500  4 Ta 2.61, 4 Cr 2.80
2 Ta 0.0000 0.0000 0.9860  2 Cr 2.61, 4 Ta 2.80, 2 W 2.81
3 Ta 0.0000 0.0000 0.5140  2 Cr 2.61, 4 Ta 2.80, 2 W 2.81
4 W 0.5000 0.5000 0.2500  4 W 2.80, 4 Ta 2.81

---

Entry 2:
## TaCr2W (PBE)

Data for crystalline TaCr2W at its relaxed geometry.

E   -43.70 eV/f.u.
E above lowest polymorph   0.516 eV/f.u.
Formation energy from the elements   0.09 eV per atom
Magnetization   0.0 μB per formula unit

Lattice parameters (Å, degrees): 2.7110 2.7110 8.4352 90.00 90.00 110.37
With the nearest neighbours (Å) after each atom.
Sites, in units of the cell vectors:
1 Cr 0.0000 0.0000 0.0154  2 Cr 2.38, 2 W 2.60
2 Cr 0.5000 0.5000 0.2297  2 Cr 2.38, 2 Ta 2.66
3 Ta 0.0000 0.0000 0.4867  2 Cr 2.66, 4 Ta 2.71, 2 W 2.84
4 W 0.5000 0.5000 0.7683  2 Cr 2.60, 4 W 2.71, 2 Ta 2.84

---

Entry 3:
## Ta3CrW4 (PBE)

Data for crystalline Ta3CrW4 at its relaxed geometry.

E   -97.33 eV/f.u.
Formation energy from the elements   -0.04 eV per atom
Magnetization   0.0 μB per formula unit

Lattice parameters (Å, degrees): 3.1926 3.1926 12.8049 90.00 90.00 90.00
With the nearest neighbours (Å) after each atom.
Sites, in units of the cell vectors:
1 Cr 0.5000 0.5000 0.0000  8 W 2.69
2 W 0.0000 0.0000 0.8856  4 Cr 2.69, 4 Ta 2.80, 1 W 2.93
3 W 0.0000 0.0000 0.1144  4 Cr 2.69, 4 Ta 2.80, 1 W 2.93
4 W 0.0000 0.0000 0.3711  8 Ta 2.78-2.80
5 W 0.0000 0.0000 0.6289  8 Ta 2.78-2.80
6 Ta 0.5000 0.5000 0.2441  8 W 2.78-2.80
7 Ta 0.5000 0.5000 0.5000  8 W 2.80
8 Ta 0.5000 0.5000 0.7559  8 W 2.78-2.80

---

Entry 4:
## Ta3CrW (PBE)

Data for crystalline Ta3CrW at its relaxed geometry.

E   -48.05 eV/f.u.
E above lowest polymorph   3.904 eV/f.u.
Formation energy from the elements   2.02 eV per atom
Magnetization   0.1 μB per formula unit

Lattice parameters (Å, degrees): 4.8222 4.8222 4.8222 90.00 90.00 90.00
With the nearest neighbours (Å) after each atom.
Sites, in units of the cell vectors:
1 Cr 0.5000 0.5000 0.5000  12 Ta 3.41
2 W 0.0000 0.0000 0.0000  6 Ta 2.41
3 Ta 0.0000 0.5000 0.0000  2 W 2.41
4 Ta 0.0000 0.0000 0.5000  2 W 2.41
5 Ta 0.5000 0.0000 0.0000  2 W 2.41

---

Entry 5:
## YTa2Cr (PBE)

Data for crystalline YTa2Cr at its relaxed geometry.

E   -37.81 eV/f.u.
E above lowest polymorph   0.857 eV/f.u.
Formation energy from the elements   0.49 eV per atom
Magnetization   2.3 μB per formula unit

Lattice parameters (Å, degrees): 3.3426 5.0206 4.6339 89.96 90.00 90.00
With the nearest neighbours (Å) after each atom.
Sites, in units of the cell vectors:
1 Cr 0.0000 0.5000 0.5000  4 Y 2.86, 4 Ta 3.02
2 Ta 0.0000 0.0000 0.0000  4 Ta 2.86, 4 Y 3.02
3 Ta 0.5000 0.0000 0.5000  4 Ta 2.86, 4 Cr 3.02
4 Y 0.5000 0.5000 0.0000  4 Cr 2.86, 4 Ta 3.02

---

Entry 6:
## YTa2Cr (PBE)

Data for crystalline YTa2Cr at its relaxed geometry.

E   -37.92 eV/f.u.
E above lowest polymorph   0.746 eV/f.u.
Formation energy from the elements   0.47 eV per atom
Magnetization   0.0 μB per formula unit

Lattice parameters (Å, degrees): 9.4037 9.4037 9.4037 19.02 19.02 19.02
With the nearest neighbours (Å) after each atom.
Sites, in units of the cell vectors:
1 Cr 0.7500 0.7500 0.7500  6 Ta 2.60
2 Ta 0.0152 0.0152 0.0152  3 Cr 2.60
3 Ta 0.4848 0.4848 0.4848  3 Cr 2.60
4 Y 0.2500 0.2500 0.2500  6 Y 3.11, 6 Ta 3.26

---

Q: The lowest E belongs to which entry?
A: Ta3CrW4